[1]
Density functional theory data (GGA+U) for PmCo3C4O12 after structural relaxation.

The structure in extended XYZ format:
```
20
Lattice="6.206 0.063 0.087 -1.435 6.038 0.087 -1.435 -1.834 5.753" Properties=species:S:1:pos:R:3 pbc="T T T"
Pm 0.000 0.000 0.000
Co 2.703 2.802 0.087
Co 2.069 -0.965 3.155
Co -1.435 2.428 2.685
C 5.164 -0.601 2.964
C -1.827 1.265 5.556
C 1.668 5.735 0.371
C 1.668 2.133 2.964
O 1.668 1.077 3.724
O 4.797 2.910 0.643
O -1.461 4.580 2.964
O 1.668 -1.091 5.284
O 0.658 5.527 1.163
O -0.791 0.482 5.610
O 5.205 0.477 2.237
O 2.679 4.918 0.317
O -1.869 2.296 4.764
O 4.128 -0.901 3.690
O 2.693 2.388 2.203
O 0.643 2.935 2.964
```

Summary:
Total magnetic moment   8.000 μB/cell
Total DFT energy (no corrections)   -7.319 eV per atom

---

[2]
Density functional theory data (GGA+U) for PrCoC2O6 after structural relaxation.

The structure in extended XYZ format:
```
10
Lattice="-2.988 4.074 -0.228 -5.008 -0.558 -0.425 -3.122 1.141 5.209" Properties=species:S:1:pos:R:3 pbc="T T T"
Pr 0.000 0.000 0.000
Co -5.559 2.328 2.278
C -8.333 3.493 3.356
C -2.785 1.164 1.201
O -4.922 0.647 3.641
O -4.599 3.806 3.687
O -3.631 2.148 1.120
O -6.196 4.010 0.915
O -6.519 0.850 0.870
O -7.487 2.509 3.436
```

Summary:
Total magnetic moment   2.000 μB/cell
Total DFT energy (no corrections)   -7.514 eV per atom

---

[3]
Density functional theory data (GGA+U) for Rb2CoCO4 after structural relaxation.

The structure in extended XYZ format:
```
16
Lattice="4.869 0.000 0.000 2.435 5.627 0.000 2.435 0.000 10.378" Properties=species:S:1:pos:R:3 pbc="T T T"
Rb 2.435 0.000 6.760
Rb 4.869 0.000 3.618
Rb 6.087 2.814 8.808
Rb 6.087 2.814 1.571
Co 6.087 2.814 5.189
Co 0.000 0.000 0.000
C 3.652 2.814 5.189
C 2.435 0.000 0.000
O 4.014 4.819 0.797
O 4.014 0.808 9.581
O 8.160 4.819 9.581
O 3.290 0.808 0.797
O 4.508 3.622 4.392
O 4.508 2.005 5.986
O 7.666 3.622 5.986
O 2.797 2.005 4.392
```

Summary:
Total magnetic moment   6.000 μB/cell
Total DFT energy (no corrections)   -5.820 eV per atom